1.
Material: HfZr2N4
Method: DFT, GGA-PBE
State: optimized geometry

Properties
The energy relative to the elements, uncorrected is -1.491 eV/atom.

The structure in POSCAR format:
```
HfZr2N4
1.0
-2.321 1.743 -1.160
-2.210 -3.164 3.881
1.994 7.453 7.211
N Zr Hf
8 4 2
direct
0.023 0.045 0.250 N
0.772 0.544 0.124 N
0.772 0.544 0.376 N
0.977 0.955 0.750 N
0.228 0.456 0.876 N
0.500 0.000 0.500 N
0.500 0.000 0.000 N
0.228 0.456 0.624 N
0.869 0.738 0.925 Zr
0.131 0.262 0.075 Zr
0.869 0.738 0.575 Zr
0.131 0.262 0.425 Zr
0.617 0.234 0.750 Hf
0.383 0.766 0.250 Hf
```

***

2.
Material: BeIr
Method: DFT, GGA-PBE
State: optimized geometry

Properties
As for the formation energy from the elements: 0.118 eV/atom.

The structure in POSCAR format:
```
BeIr
1.0
-0.814 -0.627 4.452
-1.903 -4.051 -0.918
4.074 -2.018 0.460
Be Ir
4 4
direct
0.000 0.000 0.000 Be
0.500 0.500 0.000 Be
0.000 0.500 0.500 Be
0.500 0.000 0.500 Be
0.500 0.500 0.500 Ir
0.000 0.000 0.500 Ir
0.000 0.500 0.000 Ir
0.500 0.000 0.000 Ir
```

***

Computed calculated total energy (eV per atom) in order:
-10.113 -6.175